1.
VASP calculation (PBE-GGA) on a geometry-optimized Y2HfTaN4 structure. Values from VASP.

Cell and atoms, written as Quantum ESPRESSO input:
```
&SYSTEM
  ibrav = 0, nat = 8, ntyp = 4
/
ATOMIC_SPECIES
N 14.01 N.upf
Ta 180.95 Ta.upf
Y 88.91 Y.upf
Hf 178.49 Hf.upf
CELL_PARAMETERS angstrom
3.2731 0.0000 0.0000
0.0000 5.6805 0.0990
0.0000 -1.9862 5.4192
ATOMIC_POSITIONS angstrom
N 1.6366 0.9373 1.2312
N 1.6366 2.7570 4.2870
N 0.0000 -0.0559 4.2484
Ta 1.6366 2.8403 0.0495
N 0.0000 3.7502 1.2698
Y 0.0000 1.8472 2.7591
Y 1.6366 -0.9931 2.7096
Hf 0.0000 0.0000 0.0000
```

Summary:
Its density of states at the Fermi level is 1.7 states/eV per cell. The value obtained for the mass density is 9.7 g cm⁻³. As for the energy relative to the elements, uncorrected: -1.5648 eV per atom. As for the total DFT energy (no corrections): -80.55 eV per cell.

2.
VASP calculation (PBE-GGA) on a geometry-optimized Hf2TaZnN5 structure. Values from VASP.

Cell and atoms, written as Quantum ESPRESSO input:
```
&SYSTEM
  ibrav = 0, nat = 18, ntyp = 4
/
ATOMIC_SPECIES
N 14.01 N.upf
Hf 178.49 Hf.upf
Zn 65.41 Zn.upf
Ta 180.95 Ta.upf
CELL_PARAMETERS angstrom
-1.2931 0.4572 2.8393
3.1770 -5.7943 0.6290
8.7120 5.1180 3.1435
ATOMIC_POSITIONS angstrom
N 5.0221 1.7493 3.7564
N 7.0896 0.1558 3.2037
N 1.7405 -1.4123 2.7710
N 0.7612 -0.6482 0.4510
N 4.5364 -1.1240 2.2470
N 2.5446 -3.7480 1.7624
N 8.0573 2.0785 5.0857
Hf 2.6824 -0.1127 1.2398
Zn 7.8309 5.1643 4.4857
Hf 3.0546 -2.8723 3.6046
Ta 5.0570 -0.2656 4.0968
Ta 9.8308 2.5679 4.0637
N 1.8116 1.5905 2.3199
Hf 6.8020 2.2188 2.7405
Hf 7.7106 -0.2257 5.2989
N 6.2150 -1.6974 4.8547
Zn 6.6199 -3.1187 3.5171
N 9.2856 -1.5151 4.4729
```

Summary:
The value obtained for the mass density is 10.4 g cm⁻³. As for the energy relative to the elements, uncorrected: -1.0220 eV per atom. As for the total DFT energy (no corrections): -167.72 eV per cell.

Q: Which value of energy relative to the elements, uncorrected does entry 2 give?
A: -1.0220 eV per atom

Q: Among the records above, which one has the highest energy relative to the elements, uncorrected?
A: Hf2TaZnN5